1.
# Ca2InHgMo GGA-PBEsol relaxed
# E_form (kJ/mol of atoms): 60.4
# Magnetic moment (μB/atom): 0.0001
# Space-group type: P4/mmm
data_Ca2InHgMo
_symmetry_space_group_name_H-M 'P 1'
_symmetry_Int_Tables_number 1
_symmetry_space_group_name_Hall 'P 1'
_cell_length_a 5.245
_cell_length_b 5.292
_cell_length_c 5.292
_cell_angle_alpha 90.00
_cell_angle_beta 90.00
_cell_angle_gamma 90.00
loop_
_atom_site_label
_atom_site_fract_x
_atom_site_fract_y
_atom_site_fract_z
Ca1 0.000 0.500 0.000
Ca2 0.000 0.000 0.500
Hg1 0.500 0.500 0.500
In1 0.500 0.000 0.000
Mo1 0.000 0.000 0.000


2.
# KNdO2 GGA-PBEsol relaxed
# Magnetic moment (μB/atom): 0.0004
# Uncorrected formation energy (eV/f.u.): -10.51
# Space-group type: P6_3/mmc
data_KNdO2
_symmetry_space_group_name_H-M 'P 1'
_symmetry_Int_Tables_number 1
_symmetry_space_group_name_Hall 'P 1'
_cell_length_a 3.593
_cell_length_b 3.593
_cell_length_c 12.473
_cell_angle_alpha 90.00
_cell_angle_beta 90.00
_cell_angle_gamma 120.00
loop_
_atom_site_label
_atom_site_fract_x
_atom_site_fract_y
_atom_site_fract_z
K1 0.333 0.667 0.750
K2 0.667 0.333 0.250
O1 0.333 0.667 0.096
O2 0.667 0.333 0.904
O3 0.333 0.667 0.404
O4 0.667 0.333 0.596
Nd1 0.000 0.000 0.500
Nd2 0.000 0.000 0.000


3.
# Na10B18H6O35 GGA-PBEsol relaxed
# Total energy (eV/atom): -7.20
# Magnetic moment (μB/atom): 0.0003
# Space-group type: P1
data_Na10B18H6O35
_symmetry_space_group_name_H-M 'P 1'
_symmetry_Int_Tables_number 1
_symmetry_space_group_name_Hall 'P 1'
_cell_length_a 6.670
_cell_length_b 9.365
_cell_length_c 11.850
_cell_angle_alpha 83.71
_cell_angle_beta 75.61
_cell_angle_gamma 81.37
loop_
_atom_site_label
_atom_site_fract_x
_atom_site_fract_y
_atom_site_fract_z
O1 0.581 0.615 0.269
O2 0.932 0.686 0.353
O3 0.261 0.621 0.210
O4 0.620 0.969 0.869
O5 0.575 0.059 0.278
O6 0.764 0.791 0.728
O7 0.228 0.185 0.277
O8 0.590 0.783 0.573
O9 0.060 0.291 0.649
O10 0.405 0.022 0.130
O11 0.253 0.296 0.923
O12 0.252 0.936 0.588
O13 0.700 0.290 0.275
O14 0.266 0.654 0.408
O15 0.460 0.748 0.878
O16 0.945 0.545 0.193
O17 0.735 0.352 0.592
O18 0.752 0.704 0.072
O19 0.066 0.885 0.417
O20 0.918 0.906 0.978
O21 0.416 0.391 0.726
O22 0.001 0.798 0.153
O23 0.398 0.231 0.423
O24 0.526 0.252 0.129
O25 0.026 0.276 0.452
O26 0.434 0.945 0.728
O27 0.052 0.448 0.801
O28 0.292 0.723 0.725
O29 0.734 0.368 0.793
O30 0.698 0.458 0.106
O31 0.948 0.685 0.553
O32 0.739 0.102 0.427
O33 0.288 0.545 0.889
O34 0.106 0.088 0.020
O35 0.998 0.197 0.851
B1 0.029 0.662 0.231
B2 0.344 0.673 0.830
B3 0.249 0.422 0.835
B4 0.566 0.870 0.800
B5 0.367 0.627 0.295
B6 0.890 0.802 0.069
B7 0.766 0.754 0.618
B8 0.438 0.123 0.204
B9 0.965 0.328 0.774
B10 0.393 0.849 0.651
B11 0.604 0.168 0.350
B12 0.626 0.373 0.708
B13 0.645 0.333 0.171
B14 0.225 0.228 0.383
B15 0.046 0.727 0.431
B16 0.747 0.579 0.161
B17 0.949 0.306 0.568
B18 0.120 0.193 0.932
Na1 0.403 0.152 0.612
Na2 0.999 0.029 0.232
Na3 0.585 0.826 0.377
Na4 0.393 0.806 0.066
Na5 0.760 0.582 0.903
Na6 0.606 0.183 0.942
Na7 0.222 0.559 0.613
Na8 0.779 0.466 0.384
Na9 0.012 0.943 0.770
Na10 0.247 0.428 0.087
H1 0.196 0.900 0.527
H2 0.834 0.170 0.434
H3 0.298 0.062 0.083
H4 0.929 0.946 0.437
H5 0.009 0.993 0.998
H6 0.720 0.927 0.919


4.
# MnBeCo GGA-PBEsol relaxed
# E_form (kJ/mol of atoms): -13.6
# Magnetic moment (μB/atom): 0.0750
# Space-group type: I4mm
data_MnBeCo
_symmetry_space_group_name_H-M 'P 1'
_symmetry_Int_Tables_number 1
_symmetry_space_group_name_Hall 'P 1'
_cell_length_a 2.489
_cell_length_b 2.489
_cell_length_c 4.743
_cell_angle_alpha 105.21
_cell_angle_beta 105.21
_cell_angle_gamma 90.00
loop_
_atom_site_label
_atom_site_fract_x
_atom_site_fract_y
_atom_site_fract_z
Co1 0.658 0.658 0.317
Mn1 0.336 0.336 0.672
Be1 0.005 0.005 0.011


5.
# TiRe3Bi GGA-PBEsol relaxed
# E_form (kJ/mol of atoms): 295.2
# Magnetic moment (μB/atom): 0.0006
# Space-group type: Pm-3m
data_TiRe3Bi
_symmetry_space_group_name_H-M 'P 1'
_symmetry_Int_Tables_number 1
_symmetry_space_group_name_Hall 'P 1'
_cell_length_a 4.842
_cell_length_b 4.842
_cell_length_c 4.842
_cell_angle_alpha 90.00
_cell_angle_beta 90.00
_cell_angle_gamma 90.00
loop_
_atom_site_label
_atom_site_fract_x
_atom_site_fract_y
_atom_site_fract_z
Re1 0.500 0.000 0.000
Re2 0.000 0.000 0.500
Re3 0.000 0.500 0.000
Bi1 0.000 0.000 0.000
Ti1 0.500 0.500 0.500


6.
# TmZnSn2 GGA-PBEsol relaxed
# E_form (kJ/mol of atoms): -44.9
# Magnetic moment (μB/atom): 0.0000
# Space-group type: P4/nmm
data_TmZnSn2
_symmetry_space_group_name_H-M 'P 1'
_symmetry_Int_Tables_number 1
_symmetry_space_group_name_Hall 'P 1'
_cell_length_a 4.267
_cell_length_b 4.267
_cell_length_c 9.553
_cell_angle_alpha 90.00
_cell_angle_beta 90.00
_cell_angle_gamma 90.00
loop_
_atom_site_label
_atom_site_fract_x
_atom_site_fract_y
_atom_site_fract_z
Zn1 0.500 0.500 0.500
Zn2 0.000 0.000 0.500
Tm1 0.500 0.000 0.252
Tm2 0.000 0.500 0.748
Sn1 0.500 0.500 0.000
Sn2 0.000 0.500 0.312
Sn3 0.500 0.000 0.688
Sn4 0.000 0.000 0.000


In order of appearance, V = 146.9; 139.4; 706.7; 27.3; 113.5; 173.9 Å³ per cell.